# YTmGaPd

YTmGaPd after structural relaxation (PBE-GGA, the Alexandria database).

For the density of states at the Fermi level, the calculation gives 6.02 states/eV/cell. The relative energy among the computed polymorphs comes out at 0 kJ/mol of formula units. The uncorrected energy comes out at -44.423 eV for the cell shown. The energy of formation is -764 meV/atom.

The space group is Amm2 (No. 38) and the conventional cell measures 4.461, 3.715 and 10.967 Å, with angles of 90.00, 90.00 and 90.00 degrees. The inequivalent atoms are Y at (0.000, 0.000, 0.000), Tm at (0.500, 0.000, 0.714), Ga at (0.500, 0.000, 0.434) and Pd at (0.000, 0.000, 0.280).


# Cu2SbTeS

Cu2SbTeS after structural relaxation (PBE-GGA, the Alexandria database).

For the density of states at the Fermi level, the calculation gives 3.61 states/eV/cell. The uncorrected energy comes out at -16.452 eV for the cell shown. The value obtained for the formation energy (no corrections) is 302 kJ/mol of formula units.

The space group is P4/mmm (No. 123) and the conventional cell measures 4.778, 4.778 and 5.438 Å, with angles of 90.00, 90.00 and 90.00 degrees. The inequivalent atoms are Cu at (0.000, 0.500, 0.000), Sb at (0.000, 0.000, 0.000), Te at (0.500, 0.500, 0.500) and S at (0.000, 0.000, 0.500).


# Nd2Dy7Y

Nd2Dy7Y after structural relaxation (PBE-GGA, the Alexandria database).

For the density of states at the Fermi level, the calculation gives 31.32 states/eV/cell. The relative energy among the computed polymorphs comes out at 130 kJ/mol of formula units. The uncorrected energy comes out at -93.356 eV for the cell shown. The energy of formation is 154 meV/atom.

The space group is Cmmm (No. 65) and the conventional cell measures 6.518, 28.884 and 3.525 Å, with angles of 90.00, 90.00 and 90.00 degrees. The inequivalent atoms are Nd at (0.000, 0.208, 0.000), Dy at (0.000, 0.000, 0.000), Dy at (0.000, 0.315, 0.500), Dy at (0.246, 0.402, 0.000) and Y at (0.000, 0.500, 0.500).


# Ti8H3Pb2

Ti8H3Pb2 after structural relaxation (PBE-GGA, the Alexandria database).

For the density of states at the Fermi level, the calculation gives 13.68 states/eV/cell. The uncorrected energy comes out at -81.648 eV for the cell shown.

The space group is P4/mmm (No. 123) and the conventional cell measures 4.081, 4.081 and 11.471 Å, with angles of 90.00, 90.00 and 90.00 degrees. The inequivalent atoms are Ti at (0.000, 0.000, 0.197), Ti at (0.000, 0.500, 0.000), Ti at (0.000, 0.500, 0.382), H at (0.000, 0.000, 0.000), H at (0.000, 0.000, 0.361) and Pb at (0.500, 0.500, 0.190).


# CeDyHo3

CeDyHo3 after structural relaxation (PBE-GGA, the Alexandria database).

For the density of states at the Fermi level, the calculation gives 41.39 states/eV/cell. The relative energy among the computed polymorphs comes out at 63 kJ/mol of formula units. The uncorrected energy comes out at -93.414 eV for the cell shown. The energy of formation is 183 meV/atom.

The space group is P2_1/c (No. 14) and the conventional cell measures 6.156, 9.274 and 11.646 Å, with angles of 90.00, 109.09 and 90.00 degrees. The inequivalent atoms are Ce at (0.152, 0.235, 0.150), Dy at (0.436, 0.690, 0.492), Ho at (0.044, 0.611, 0.636), Ho at (0.175, 0.039, 0.419) and Ho at (0.399, 0.548, 0.216).


# CdAs2RhO6

CdAs2RhO6 after structural relaxation (PBE-GGA, the Alexandria database).

For the density of states at the Fermi level, the calculation gives 14.24 states/eV/cell. The uncorrected energy comes out at -223.924 eV for the cell shown. The value obtained for the formation energy (no corrections) is -836 kJ/mol of formula units.

The space group is C2/c (No. 15) and the conventional cell measures 9.912, 8.199 and 6.621 Å, with angles of 90.00, 113.73 and 90.00 degrees. The inequivalent atoms are Cd at (0.000, 0.130, 0.250), As at (0.184, 0.480, 0.233), Rh at (0.000, 0.303, 0.750), O at (0.105, 0.297, 0.075), O at (0.126, 0.075, 0.679) and O at (0.183, 0.395, 0.497).


> Among the records above, which one has the highest density of states at the Fermi level?

CeDyHo3


> Among the records above, which one has the lowest uncorrected energy?

CdAs2RhO6


> Number 3 is which compound?

Nd2Dy7Y


> What is the density of states at the Fermi level in the fourth record?

13.68 states/eV/cell